(1)
# Pr7Tl4Hg PBE-GGA relaxed
# Total magnetization ... 0.000 μB per atom
# Raw total energy ... -3.8347 eV/atom
data_Pr7Tl4Hg
_chemical_formula_sum 'Pr14 Tl8 Hg2'
_symmetry_space_group_name_H-M 'C 1 2/m 1'
_symmetry_Int_Tables_number 12
_cell_length_a 17.302
_cell_length_b 5.822
_cell_length_c 9.112
_cell_angle_alpha 90.00
_cell_angle_beta 121.44
_cell_angle_gamma 90.00
loop_
_symmetry_equiv_pos_as_xyz
'x,y,z'
'-x,-y,-z'
'-x,y,-z'
'x,-y,z'
'x+1/2,y+1/2,z'
'-x+1/2,-y+1/2,-z'
'-x+1/2,y+1/2,-z'
'x+1/2,-y+1/2,z'
loop_
_atom_site_label
_atom_site_type_symbol
_atom_site_fract_x
_atom_site_fract_y
_atom_site_fract_z
Pr1 Pr 0.000 0.000 0.000
Pr2 Pr 0.069 0.500 0.397
Pr3 Pr 0.164 0.500 0.928
Pr4 Pr 0.214 0.000 0.608
Tl1 Tl 0.057 0.000 0.706
Tl2 Tl 0.212 0.000 0.244
Hg1 Hg 0.000 0.500 0.000

***

(2)
# CaTc2Ru PBE-GGA relaxed
# Total magnetization ... 0.000 μB per atom
# Raw total energy ... -7.5446 eV/atom
data_CaTc2Ru
_chemical_formula_sum 'Ca2 Tc4 Ru2'
_symmetry_space_group_name_H-M 'I m m 2'
_symmetry_Int_Tables_number 44
_cell_length_a 3.071
_cell_length_b 4.823
_cell_length_c 9.203
_cell_angle_alpha 90.00
_cell_angle_beta 90.00
_cell_angle_gamma 90.00
loop_
_symmetry_equiv_pos_as_xyz
'x,y,z'
'-x,-y,z'
'-x,y,z'
'x,-y,z'
'x+1/2,y+1/2,z+1/2'
'-x+1/2,-y+1/2,z+1/2'
'-x+1/2,y+1/2,z+1/2'
'x+1/2,-y+1/2,z+1/2'
loop_
_atom_site_label
_atom_site_type_symbol
_atom_site_fract_x
_atom_site_fract_y
_atom_site_fract_z
Ca1 Ca 0.000 0.000 0.000
Tc1 Tc 0.000 0.000 0.494
Tc2 Tc 0.000 0.500 0.782
Ru1 Ru 0.000 0.500 0.222

***

(3)
# Pd2Pt3Au PBE-GGA relaxed
# Total magnetization ... 0.000 μB per atom
# Raw total energy ... -5.3075 eV/atom
data_Pd2Pt3Au
_chemical_formula_sum 'Pd8 Pt12 Au4'
_symmetry_space_group_name_H-M 'C 1 2/m 1'
_symmetry_Int_Tables_number 12
_cell_length_a 11.972
_cell_length_b 3.987
_cell_length_c 8.935
_cell_angle_alpha 90.00
_cell_angle_beta 116.42
_cell_angle_gamma 90.00
loop_
_symmetry_equiv_pos_as_xyz
'x,y,z'
'-x,-y,-z'
'-x,y,-z'
'x,-y,z'
'x+1/2,y+1/2,z'
'-x+1/2,-y+1/2,-z'
'-x+1/2,y+1/2,-z'
'x+1/2,-y+1/2,z'
loop_
_atom_site_label
_atom_site_type_symbol
_atom_site_fract_x
_atom_site_fract_y
_atom_site_fract_z
Pd1 Pd 0.041 0.000 0.370
Pd2 Pd 0.207 0.500 0.371
Pt1 Pt 0.042 0.500 0.877
Pt2 Pt 0.124 0.000 0.123
Pt3 Pt 0.209 0.000 0.877
Au1 Au 0.126 0.500 0.623

***

(4)
# Cr2FePt PBE-GGA relaxed
# Total magnetization ... 0.242 μB per atom
# Raw total energy ... -8.4679 eV/atom
data_Cr2FePt
_chemical_formula_sum 'Cr4 Fe2 Pt2'
_symmetry_space_group_name_H-M 'I -4 m 2'
_symmetry_Int_Tables_number 119
_symmetry_space_group_name_Hall 'I -4 -2'
_cell_length_a 3.732
_cell_length_b 3.732
_cell_length_c 7.339
_cell_angle_alpha 90.00
_cell_angle_beta 90.00
_cell_angle_gamma 90.00
loop_
_atom_site_label
_atom_site_type_symbol
_atom_site_fract_x
_atom_site_fract_y
_atom_site_fract_z
Cr1 Cr 0.000 0.000 0.000
Cr2 Cr 0.000 0.500 0.250
Fe1 Fe 0.000 0.000 0.500
Pt1 Pt 0.000 0.500 0.750

***

Results for Fermi-level density of states: 23.82; 6.63; 48.74; 9.60 (in states/eV per cell, following the order of the records).